# LiCd2RhC

LiCd2RhC after structural relaxation (PBE-GGA, the Alexandria database).

Properties
- VASP energy: -18.08 eV per cell
- Crystal system: tetragonal
- Energy relative to the elements: 0.447 eV per atom
- Density of states at the Fermi level: 0.3351 states/eV per atom

```
data_LiCd2RhC
_space_group_name_H-M_alt 'P 1'
_space_group_IT_number 1
_space_group_name_Hall 'P 1'
_cell_length_a 5.2625
_cell_length_b 5.2625
_cell_length_c 3.8435
_cell_angle_alpha 90.00
_cell_angle_beta 90.00
_cell_angle_gamma 90.00
loop_
_atom_site_label
_atom_site_fract_x
_atom_site_fract_y
_atom_site_fract_z
_atom_site_occupancy
Li1 0.0000 0.0000 0.0000 1
Cd1 0.0000 0.5000 0.5000 1
Cd2 0.5000 0.0000 0.5000 1
Rh1 0.5000 0.5000 0.5000 1
C1 0.5000 0.5000 0.0000 1
```



# AgIBr3

AgIBr3 after structural relaxation (PBE-GGA, the Alexandria database).

Properties
- VASP energy: -40.42 eV per cell
- Crystal system: monoclinic
- Formation energy from raw total energies: -0.137 eV per atom
- Density of states at the Fermi level: 0.0231 states/eV per atom

```
data_AgIBr3
_space_group_name_H-M_alt 'P 1'
_space_group_IT_number 1
_space_group_name_Hall 'P 1'
_cell_length_a 9.9306
_cell_length_b 7.6552
_cell_length_c 12.3954
_cell_angle_alpha 90.00
_cell_angle_beta 126.62
_cell_angle_gamma 90.00
loop_
_atom_site_label
_atom_site_fract_x
_atom_site_fract_y
_atom_site_fract_z
_atom_site_occupancy
Ag1 0.1138 0.2112 0.0486 1
Ag2 0.1138 0.2888 0.5486 1
Ag3 0.8862 0.7112 0.4514 1
Ag4 0.8862 0.7888 0.9514 1
I1 0.3986 0.6278 0.3643 1
I2 0.3986 0.8722 0.8643 1
I3 0.6014 0.1278 0.1357 1
I4 0.6014 0.3722 0.6357 1
Br1 0.1175 0.0667 0.7274 1
Br2 0.1175 0.4333 0.2274 1
Br3 0.2075 0.6276 0.6136 1
Br4 0.2075 0.8724 0.1136 1
Br5 0.3409 0.1469 0.5247 1
Br6 0.3409 0.3531 0.0247 1
Br7 0.6591 0.6469 0.9753 1
Br8 0.6591 0.8531 0.4753 1
Br9 0.7925 0.1276 0.8864 1
Br10 0.7925 0.3724 0.3864 1
Br11 0.8825 0.5667 0.7726 1
Br12 0.8825 0.9333 0.2726 1
```



# Ce2Al3Ga5

Ce2Al3Ga5 after structural relaxation (PBE-GGA, the Alexandria database).

Properties
- VASP energy: -84.04 eV per cell
- Crystal system: orthorhombic
- Energy relative to the elements: -0.379 eV per atom
- Density of states at the Fermi level: 1.5116 states/eV per atom

```
data_Ce2Al3Ga5
_space_group_name_H-M_alt 'P 1'
_space_group_IT_number 1
_space_group_name_Hall 'P 1'
_cell_length_a 8.7092
_cell_length_b 8.7092
_cell_length_c 8.7092
_cell_angle_alpha 106.05
_cell_angle_beta 88.42
_cell_angle_gamma 138.70
loop_
_atom_site_label
_atom_site_fract_x
_atom_site_fract_y
_atom_site_fract_z
_atom_site_occupancy
Ce1 0.1265 0.2390 0.3655 1
Ce2 0.3735 0.7390 0.1125 1
Ce3 0.6265 0.2610 0.8875 1
Ce4 0.8735 0.7610 0.6345 1
Al1 0.1350 0.8841 0.0191 1
Al2 0.2500 0.7500 0.5000 1
Al3 0.3650 0.3841 0.7492 1
Al4 0.6350 0.6159 0.2508 1
Al5 0.7500 0.2500 0.5000 1
Al6 0.8650 0.1159 0.9809 1
Ga1 0.0218 0.7500 0.2718 1
Ga2 0.1129 0.6490 0.7619 1
Ga3 0.2500 0.2500 0.0000 1
Ga4 0.3871 0.1490 0.5361 1
Ga5 0.4782 0.7500 0.7282 1
Ga6 0.5218 0.2500 0.2718 1
Ga7 0.6129 0.8510 0.4639 1
Ga8 0.7500 0.7500 0.0000 1
Ga9 0.8871 0.3510 0.2381 1
Ga10 0.9782 0.2500 0.7282 1
```



# BaLi2Mn

BaLi2Mn after structural relaxation (PBE-GGA, the Alexandria database).

Properties
- VASP energy: -25.58 eV per cell
- Crystal system: monoclinic
- Energy relative to the elements: 0.533 eV per atom
- Density of states at the Fermi level: 0.8599 states/eV per atom

```
data_BaLi2Mn
_space_group_name_H-M_alt 'P 1'
_space_group_IT_number 1
_space_group_name_Hall 'P 1'
_cell_length_a 6.4407
_cell_length_b 10.9566
_cell_length_c 3.5094
_cell_angle_alpha 90.00
_cell_angle_beta 117.47
_cell_angle_gamma 90.00
loop_
_atom_site_label
_atom_site_fract_x
_atom_site_fract_y
_atom_site_fract_z
_atom_site_occupancy
Ba1 0.0000 0.0000 0.0000 1
Ba2 0.5000 0.5000 0.0000 1
Li1 0.2500 0.2500 0.5000 1
Li2 0.2500 0.7500 0.5000 1
Li3 0.7500 0.2500 0.5000 1
Li4 0.7500 0.7500 0.5000 1
Mn1 0.0000 0.5000 0.0000 1
Mn2 0.5000 0.0000 0.0000 1
```



# Nb2TlRu

Nb2TlRu after structural relaxation (PBE-GGA, the Alexandria database).

Properties
- VASP energy: -119.37 eV per cell
- Crystal system: tetragonal
- Energy relative to the elements: 0.485 eV per atom
- Density of states at the Fermi level: 1.0537 states/eV per atom

```
data_Nb2TlRu
_space_group_name_H-M_alt 'P 1'
_space_group_IT_number 1
_space_group_name_Hall 'P 1'
_cell_length_a 7.6216
_cell_length_b 7.6216
_cell_length_c 5.5318
_cell_angle_alpha 90.00
_cell_angle_beta 90.00
_cell_angle_gamma 90.00
loop_
_atom_site_label
_atom_site_fract_x
_atom_site_fract_y
_atom_site_fract_z
_atom_site_occupancy
Nb1 0.1962 0.2500 0.1250 1
Nb2 0.2500 0.6962 0.3750 1
Nb3 0.2500 0.8038 0.8750 1
Nb4 0.3038 0.2500 0.6250 1
Nb5 0.6962 0.7500 0.6250 1
Nb6 0.7500 0.1962 0.8750 1
Nb7 0.7500 0.3038 0.3750 1
Nb8 0.8038 0.7500 0.1250 1
Tl1 0.0000 0.0000 0.5000 1
Tl2 0.0000 0.5000 0.7500 1
Tl3 0.5000 0.0000 0.2500 1
Tl4 0.5000 0.5000 0.0000 1
Ru1 0.0000 0.0000 0.0000 1
Ru2 0.0000 0.5000 0.2500 1
Ru3 0.5000 0.0000 0.7500 1
Ru4 0.5000 0.5000 0.5000 1
```



# CsTaNb2Se

CsTaNb2Se after structural relaxation (PBE-GGA, the Alexandria database).

Properties
- VASP energy: -22.20 eV per cell
- Crystal system: tetragonal
- Formation energy from raw total energies: 2.826 eV per atom
- Density of states at the Fermi level: 0.6518 states/eV per atom

```
data_CsTaNb2Se
_space_group_name_H-M_alt 'P 1'
_space_group_IT_number 1
_space_group_name_Hall 'P 1'
_cell_length_a 5.0344
_cell_length_b 5.0344
_cell_length_c 5.0910
_cell_angle_alpha 90.00
_cell_angle_beta 90.00
_cell_angle_gamma 90.00
loop_
_atom_site_label
_atom_site_fract_x
_atom_site_fract_y
_atom_site_fract_z
_atom_site_occupancy
Cs1 0.0000 0.0000 0.0000 1
Ta1 0.0000 0.0000 0.5000 1
Nb1 0.0000 0.5000 0.0000 1
Nb2 0.5000 0.0000 0.0000 1
Se1 0.5000 0.5000 0.5000 1
```



# TmLuGaAu

TmLuGaAu after structural relaxation (PBE-GGA, the Alexandria database).

Properties
- VASP energy: -72.67 eV per cell
- Crystal system: cubic
- Energy relative to the elements: -0.718 eV per atom
- Density of states at the Fermi level: 0.4802 states/eV per atom

```
data_TmLuGaAu
_space_group_name_H-M_alt 'P 1'
_space_group_IT_number 1
_space_group_name_Hall 'P 1'
_cell_length_a 7.0815
_cell_length_b 7.0815
_cell_length_c 7.0815
_cell_angle_alpha 90.00
_cell_angle_beta 90.00
_cell_angle_gamma 90.00
loop_
_atom_site_label
_atom_site_fract_x
_atom_site_fract_y
_atom_site_fract_z
_atom_site_occupancy
Tm1 0.0000 0.0000 0.0000 1
Tm2 0.0000 0.5000 0.5000 1
Tm3 0.5000 0.0000 0.5000 1
Tm4 0.5000 0.5000 0.0000 1
Lu1 0.0000 0.0000 0.5000 1
Lu2 0.0000 0.5000 0.0000 1
Lu3 0.5000 0.0000 0.0000 1
Lu4 0.5000 0.5000 0.5000 1
Ga1 0.2500 0.2500 0.7500 1
Ga2 0.2500 0.7500 0.2500 1
Ga3 0.7500 0.2500 0.2500 1
Ga4 0.7500 0.7500 0.7500 1
Au1 0.2500 0.2500 0.2500 1
Au2 0.2500 0.7500 0.7500 1
Au3 0.7500 0.2500 0.7500 1
Au4 0.7500 0.7500 0.2500 1
```



# K4LiAu

K4LiAu after structural relaxation (PBE-GGA, the Alexandria database).

Properties
- VASP energy: -7.83 eV per cell
- Crystal system: cubic
- Energy relative to the elements: 0.292 eV per atom
- Density of states at the Fermi level: 0.5259 states/eV per atom

```
data_K4LiAu
_space_group_name_H-M_alt 'P 1'
_space_group_IT_number 1
_space_group_name_Hall 'P 1'
_cell_length_a 7.4958
_cell_length_b 7.4958
_cell_length_c 7.4958
_cell_angle_alpha 60.00
_cell_angle_beta 60.00
_cell_angle_gamma 60.00
loop_
_atom_site_label
_atom_site_fract_x
_atom_site_fract_y
_atom_site_fract_z
_atom_site_occupancy
K1 0.3759 0.3759 0.3759 1
K2 0.3759 0.3759 0.8722 1
K3 0.3759 0.8722 0.3759 1
K4 0.8722 0.3759 0.3759 1
Li1 0.0000 0.0000 0.0000 1
Au1 0.7500 0.7500 0.7500 1
```